Entry 1:
Below is a relaxed ScGa2Ru2 crystal, with properties calculated at the GGA-PBEsol level.

Output
* E_form: -0.422 eV/atom
* VASP energy: -0.263 hartree per atom
* crystal system: tetragonal
* theoretical density: 8.5 g/cm3

a = 6.9995 Å, b = 6.9995 Å, c = 3.0799 Å
α = 90.00°, β = 90.00°, γ = 90.00°
Space group P4/mbm (No. 127)
Unique sites:
Sc: 0.0000 0.0000 0.0000 x2
Ga: 0.1498 0.3502 0.5000 x4
Ru: 0.1468 0.6468 0.0000 x4

Entry 2:
Below is a relaxed Sc2Ga2Ru crystal, with properties calculated at the GGA-PBEsol level.

Output
* E_form: -0.554 eV/atom
* VASP energy: -0.241 hartree per atom
* crystal system: tetragonal
* theoretical density: 6.5 g/cm3

a = 6.7390 Å, b = 6.7390 Å, c = 3.7304 Å
α = 90.00°, β = 90.00°, γ = 90.00°
Space group P4/mbm (No. 127)
Unique sites:
Sc: 0.1761 0.3239 0.0000 x4
Ga: 0.1309 0.6309 0.5000 x4
Ru: 0.0000 0.0000 0.5000 x2

Entry 3:
Below is a relaxed Sc2GaRu2 crystal, with properties calculated at the GGA-PBEsol level.

Output
* E_form: -0.490 eV/atom
* VASP energy: -0.289 hartree per atom
* crystal system: tetragonal
* theoretical density: 7.1 g/cm3

a = 6.5145 Å, b = 6.5145 Å, c = 3.9602 Å
α = 90.00°, β = 90.00°, γ = 90.00°
Space group P4/mbm (No. 127)
Unique sites:
Sc: 0.1718 0.3282 0.0000 x4
Ga: 0.0000 0.0000 0.5000 x2
Ru: 0.1410 0.6410 0.5000 x4

Entry 4:
Below is a relaxed ScGa2Ru crystal, with properties calculated at the GGA-PBEsol level.

Output
* E_form: -0.555 eV/atom
* VASP energy: -0.236 hartree per atom
* crystal system: cubic
* theoretical density: 7.9 g/cm3

a = 6.2104 Å, b = 6.2104 Å, c = 6.2104 Å
α = 90.00°, β = 90.00°, γ = 90.00°
Space group Fm-3m (No. 225)
Unique sites:
Sc: 0.0000 0.0000 0.0000 x4
Ga: 0.2500 0.2500 0.2500 x8
Ru: 0.0000 0.0000 0.5000 x4

Entry 5:
Below is a relaxed Sm2Ga9Ru5 crystal, with properties calculated at the GGA-PBEsol level.

Output
* E_form: -0.528 eV/atom
* VASP energy: -0.229 hartree per atom
* crystal system: tetragonal
* theoretical density: 9.5 g/cm3

a = 6.1127 Å, b = 6.1127 Å, c = 13.4150 Å
α = 90.00°, β = 90.00°, γ = 90.00°
Space group I4/mmm (No. 139)
Unique sites:
Sm: 0.0000 0.5000 0.0000 x4
Ga: 0.0000 0.0000 0.0000 x2
Ga: 0.2093 0.2093 0.3503 x16
Ru: 0.0000 0.0000 0.1810 x4
Ru: 0.0000 0.0000 0.5000 x2
Ru: 0.0000 0.5000 0.2500 x4

Entry 6:
Below is a relaxed Sm2Ga9Ru3 crystal, with properties calculated at the GGA-PBEsol level.

Output
* E_form: -0.573 eV/atom
* VASP energy: -0.207 hartree per atom
* crystal system: orthorhombic
* theoretical density: 8.9 g/cm3

a = 12.7250 Å, b = 7.5287 Å, c = 9.6370 Å
α = 90.00°, β = 90.00°, γ = 90.00°
Space group Cmcm (No. 63)
Unique sites:
Sm: 0.1613 0.1631 0.2500 x8
Ga: 0.0000 0.1350 0.7500 x4
Ga: 0.0000 0.3384 0.0592 x8
Ga: 0.1067 0.4471 0.7500 x8
Ga: 0.1639 0.1749 0.5758 x16
Ru: 0.0000 0.0000 0.0000 x4
Ru: 0.1759 0.5000 0.0000 x8

Q: What is the E_form in the first record?
A: -0.422 eV/atom

What did the fourth record say?
Below is a relaxed ScGa2Ru crystal, with properties calculated at the GGA-PBEsol level.

Output
* E_form: -0.555 eV/atom
* VASP energy: -0.236 hartree per atom
* crystal system: cubic
* theoretical density: 7.9 g/cm3

a = 6.2104 Å, b = 6.2104 Å, c = 6.2104 Å
α = 90.00°, β = 90.00°, γ = 90.00°
Space group Fm-3m (No. 225)
Unique sites:
Sc: 0.0000 0.0000 0.0000 x4
Ga: 0.2500 0.2500 0.2500 x8
Ru: 0.0000 0.0000 0.5000 x4